This record from Alexandria via LeMat-Bulk describes an optimized crystal structure of Sr2P7I. The functional is PBE-GGA.

ΔE_f (raw): -0.671 eV per atom
E: -4.95 eV/atom
D(E_F): 0.00 states/eV/f.u.
space-group type: P2_13

POSCAR file:
```
Sr2P7I
1.0
-6.022 1.454 -7.924
-7.125 -5.578 4.391
-3.759 8.243 4.369
Sr P I
8 28 4
direct
0.154 0.654 0.846 Sr
0.654 0.846 0.154 Sr
0.846 0.154 0.654 Sr
0.346 0.346 0.346 Sr
0.903 0.403 0.097 Sr
0.403 0.097 0.903 Sr
0.097 0.903 0.403 Sr
0.597 0.597 0.597 Sr
0.721 0.221 0.279 P
0.221 0.279 0.721 P
0.279 0.721 0.221 P
0.779 0.779 0.779 P
0.309 0.463 0.644 P
0.356 0.809 0.037 P
0.963 0.856 0.691 P
0.809 0.037 0.356 P
0.856 0.691 0.963 P
0.463 0.644 0.309 P
0.691 0.963 0.856 P
0.644 0.309 0.463 P
0.037 0.356 0.809 P
0.191 0.537 0.144 P
0.144 0.191 0.537 P
0.537 0.144 0.191 P
0.357 0.459 0.031 P
0.969 0.857 0.041 P
0.959 0.469 0.643 P
0.857 0.041 0.969 P
0.469 0.643 0.959 P
0.459 0.031 0.357 P
0.643 0.959 0.469 P
0.031 0.357 0.459 P
0.041 0.969 0.857 P
0.143 0.541 0.531 P
0.531 0.143 0.541 P
0.541 0.531 0.143 P
0.349 0.849 0.651 I
0.849 0.651 0.349 I
0.651 0.349 0.849 I
0.151 0.151 0.151 I
```

This record from Alexandria via LeMat-Bulk describes an optimized crystal structure of Pm12Pr2Sm5. The functional is PBE-GGA.

polymorph energy (0 for the lowest one): 0 meV per atom
E: -4.64 eV/atom
D(E_F): 30.12 states/eV/f.u.
space-group type: C2/m
calculated formation energy: 0.1007 eV per atom

POSCAR file:
```
Pm12Pr2Sm5
1.0
10.261 0.000 0.000
-5.131 7.896 1.932
0.000 5.970 9.826
Pm Pr Sm
12 2 5
direct
0.097 0.195 0.103 Pm
0.049 0.600 0.801 Pm
0.551 0.600 0.801 Pm
0.146 0.796 0.401 Pm
0.650 0.796 0.401 Pm
0.398 0.795 0.904 Pm
0.602 0.205 0.096 Pm
0.854 0.204 0.599 Pm
0.350 0.204 0.599 Pm
0.951 0.400 0.199 Pm
0.449 0.400 0.199 Pm
0.903 0.805 0.897 Pm
0.750 0.000 0.000 Pr
0.250 0.000 0.000 Pr
0.199 0.398 0.699 Sm
0.299 0.598 0.298 Sm
0.000 0.000 0.500 Sm
0.701 0.402 0.702 Sm
0.801 0.602 0.301 Sm
```